[1]
The following is a DFT calculation (PBE) of a geometry-optimized ZnGePb2 structure.

Calculated values
electronic total energy = -3.130 eV/atom
DOS(E_F) = 0.432 states/eV per atom
space group = Fm-3m
energy above the lowest structure with this stoichiometry = 0.00 eV/f.u.

The structure in extended XYZ format:
```
4
Lattice="0.000 3.686 3.686 3.686 0.000 3.686 3.686 3.686 0.000" Properties=species:S:1:pos:R:3 pbc="T T T"
Pb 1.843 1.843 1.843
Pb 5.529 5.529 5.529
Ge 3.686 3.686 3.686
Zn 0.000 0.000 0.000
```

---

[2]
The following is a DFT calculation (PBE) of a geometry-optimized ZnGePb2 structure.

Calculated values
electronic total energy = -2.994 eV/atom
DOS(E_F) = 0.423 states/eV per atom
space group = I-42d
energy above the lowest structure with this stoichiometry = 0.55 eV/f.u.

The structure in extended XYZ format:
```
8
Lattice="-3.102 -0.959 5.725 2.971 -5.839 0.631 4.540 -0.737 6.120" Properties=species:S:1:pos:R:3 pbc="T T T"
Zn 3.723 -4.987 4.965
Pb 2.604 -3.954 2.641
Ge 0.687 -2.548 7.512
Pb 3.357 -3.103 6.974
Pb -0.432 -1.513 5.186
Zn -0.065 -3.399 3.178
Ge 0.000 0.000 0.000
Pb 3.290 -6.500 10.152
```

---

[3]
The following is a DFT calculation (PBE) of a geometry-optimized ZnGePb2 structure.

Calculated values
electronic total energy = -3.041 eV/atom
DOS(E_F) = 0.446 states/eV per atom
space group = R-3m
energy above the lowest structure with this stoichiometry = 0.36 eV/f.u.

The structure in extended XYZ format:
```
4
Lattice="-0.241 3.384 -0.042 -1.046 1.592 -2.808 -10.803 0.964 2.520" Properties=species:S:1:pos:R:3 pbc="T T T"
Pb -4.073 4.789 -1.918
Zn 0.000 0.000 0.000
Ge -6.045 2.970 -0.165
Pb -8.017 1.150 1.588
```